# 1
A plane-wave DFT calculation with PBE-GGA was carried out for a relaxed structure of ScTi3P.

abc: 4.6157 4.6157 4.6157
angles: 90.00 90.00 90.00
Last column: nearest neighbours and their distance in Å.
Space group Pm-3m (No. 221)
One atom of each set of equivalent atoms:
1 Sc 0.0000 0.0000 0.0000 (multiplicity 1)  12 Ti 3.26
2 Ti 0.0000 0.5000 0.5000 (multiplicity 3)  2 P 2.31
3 P 0.5000 0.5000 0.5000 (multiplicity 1)  6 Ti 2.31

Properties
Crystal system: cubic
ΔE_f in eV per formula unit: -1.38
Raw total energy in eV/atom: -7.36
ρ in g/cm3: 3.71
Energy above the most stable polymorph in this dataset in eV/atom: 0.0000
Fermi-level density of states in states/eV/cell: 3.86



# 2
A plane-wave DFT calculation with PBE-GGA was carried out for a relaxed structure of ScTiP.

abc: 3.7525 3.7525 7.0921
angles: 90.00 90.00 90.00
Last column: nearest neighbours and their distance in Å.
Space group P4/nmm (No. 129, origin choice 2)
One atom of each set of equivalent atoms:
1 Sc 0.2500 0.2500 0.1435 (multiplicity 2)  5 P 2.74-2.75
2 Ti 0.2500 0.7500 0.5000 (multiplicity 2)  4 P 2.61, 4 Ti 2.65
3 P 0.2500 0.2500 0.7565 (multiplicity 2)  4 Ti 2.61, 5 Sc 2.74-2.75

Properties
Crystal system: tetragonal
ΔE_f in eV per formula unit: -3.41
Raw total energy in eV/atom: -7.68
ρ in g/cm3: 4.12
Fermi-level density of states in states/eV/cell: 6.12